1.
! La2MgP4Rh3 | the Alexandria database | PBE | optimized geometry; values from VASP
! density of states at the Fermi level: 3.832 states/eV/cell
! formation energy from the elements: -1078 meV per atom
! raw total energy: -6.592 eV/atom
! space group: P-4m2, No. 115
&SYSTEM
  ibrav = 0, nat = 10, ntyp = 4
/
ATOMIC_SPECIES
La 138.91 La.upf
Mg 24.30 Mg.upf
P 30.97 P.upf
Rh 102.91 Rh.upf
CELL_PARAMETERS angstrom
4.245 0.000 0.000
0.000 4.245 0.000
0.000 0.000 9.916
ATOMIC_POSITIONS angstrom
La 0.000 2.122 2.325
La 2.122 0.000 7.591
Mg 0.000 0.000 4.958
P 0.000 0.000 0.000
P 0.000 2.122 6.416
P 2.122 0.000 3.499
P 2.122 2.122 0.000
Rh 0.000 2.122 8.865
Rh 2.122 0.000 1.051
Rh 2.122 2.122 4.958


2.
! LaMgP2S8 | the Alexandria database | PBE | optimized geometry; values from VASP
! density of states at the Fermi level: 13.784 states/eV/cell
! raw total energy: -4.907 eV/atom
! space group: P-3, No. 147
! formation energy from raw total energies: -0.710 eV/atom
&SYSTEM
  ibrav = 0, nat = 12, ntyp = 4
/
ATOMIC_SPECIES
La 138.91 La.upf
Mg 24.30 Mg.upf
P 30.97 P.upf
S 32.06 S.upf
CELL_PARAMETERS angstrom
5.836 0.000 0.000
-2.918 5.054 0.000
0.000 0.000 8.901
ATOMIC_POSITIONS angstrom
La 0.000 0.000 0.000
Mg 0.000 0.000 4.450
P 0.000 3.369 6.805
P 2.918 1.685 2.096
S -0.907 1.605 6.263
S -1.074 5.037 6.263
S 0.937 1.588 2.638
S 0.000 3.369 8.846
S 2.918 1.685 0.055
S 1.981 3.466 6.263
S 3.992 0.017 2.638
S 3.825 3.448 2.638


3.
! La2MgScP | the Alexandria database | PBE | optimized geometry; values from VASP
! density of states at the Fermi level: 5.755 states/eV/cell
! formation energy from the elements: -508 meV per atom
! raw total energy: -5.146 eV/atom
! space group: P4/mmm, No. 123
&SYSTEM
  ibrav = 0, nat = 5, ntyp = 4
/
ATOMIC_SPECIES
La 138.91 La.upf
Mg 24.30 Mg.upf
Sc 44.96 Sc.upf
P 30.97 P.upf
CELL_PARAMETERS angstrom
5.687 0.000 0.000
0.000 5.687 0.000
0.000 0.000 4.953
ATOMIC_POSITIONS angstrom
La 0.000 2.844 0.000
La 2.844 0.000 0.000
Mg 0.000 0.000 2.476
Sc 2.844 2.844 2.476
P 2.844 2.844 0.000


4.
! La4Th3MgP8 | the Alexandria database | PBE | optimized geometry; values from VASP
! density of states at the Fermi level: 3.361 states/eV/cell
! formation energy from the elements: -1433 meV per atom
! raw total energy: -6.861 eV/atom
! space group: R-3m, No. 166
&SYSTEM
  ibrav = 0, nat = 16, ntyp = 4
/
ATOMIC_SPECIES
La 138.91 La.upf
Th 232.04 Th.upf
Mg 24.30 Mg.upf
P 30.97 P.upf
CELL_PARAMETERS angstrom
4.177 2.412 6.861
-4.177 2.412 6.861
0.000 -4.823 6.861
ATOMIC_POSITIONS angstrom
La 0.000 0.000 0.000
La -2.089 -1.206 6.861
La -2.089 1.206 13.722
La 0.000 2.412 6.861
Th -4.177 0.000 10.291
Th -2.089 1.206 3.430
Th 2.089 1.206 3.430
Mg 0.000 0.000 10.291
P 0.000 0.000 5.084
P -2.085 -1.204 11.926
P 0.000 -2.407 8.656
P -2.085 1.204 8.656
P 2.085 -1.204 11.926
P 0.000 2.407 11.926
P 2.085 1.204 8.656
P 0.000 0.000 15.498


5.
! La2YMgP | the Alexandria database | PBE | optimized geometry; values from VASP
! density of states at the Fermi level: 6.803 states/eV/cell
! formation energy from the elements: -516 meV per atom
! raw total energy: -5.180 eV/atom
! space group: P4/mmm, No. 123
&SYSTEM
  ibrav = 0, nat = 5, ntyp = 4
/
ATOMIC_SPECIES
La 138.91 La.upf
Y 88.91 Y.upf
Mg 24.30 Mg.upf
P 30.97 P.upf
CELL_PARAMETERS angstrom
5.668 0.000 0.000
0.000 5.668 0.000
0.000 0.000 5.315
ATOMIC_POSITIONS angstrom
La 0.000 2.834 0.000
La 2.834 0.000 0.000
Y 0.000 0.000 2.657
Mg 2.834 2.834 2.657
P 0.000 0.000 0.000


6.
! LaMgPa | the Alexandria database | PBE | optimized geometry; values from VASP
! density of states at the Fermi level: 9.841 states/eV/cell
! formation energy from the elements: 214 meV per atom
! raw total energy: -5.125 eV/atom
! space group: P-1, No. 2
&SYSTEM
  ibrav = 0, nat = 6, ntyp = 3
/
ATOMIC_SPECIES
La 138.91 La.upf
Mg 24.30 Mg.upf
Pa 231.04 Pa.upf
CELL_PARAMETERS angstrom
3.239 0.000 0.000
-0.027 6.226 0.000
-1.579 -2.124 8.401
ATOMIC_POSITIONS angstrom
La -0.008 2.388 1.582
La 1.642 1.715 6.819
Mg 0.021 0.253 4.124
Mg 1.613 3.850 4.277
Pa 0.030 -1.473 7.226
Pa 1.604 5.576 1.176


Look up the raw total energy of the second one. -4.907 eV/atom


What is the density of states at the Fermi level in the fifth record? 6.803 states/eV/cell


What is the raw total energy in the first record? -6.592 eV/atom


The lowest raw total energy belongs to which entry? La4Th3MgP8